No. 1
DFT (PBE) results for crystalline CsGdTeS at its relaxed geometry.

Output
- Excess energy over the best structure of this formula in the dataset: 4.8 meV/atom
- E: -4.776 eV per atom
- Space group: No. 164

```
CsGdTeS
1.0
4.336 0.000 0.000
-2.168 3.755 0.000
0.000 0.000 17.057
Cs Gd S Te
2 2 2 2
Direct
0.333 0.667 0.271
0.667 0.333 0.729
0.000 0.000 0.000
0.000 0.000 0.500
0.667 0.333 0.418
0.333 0.667 0.582
0.667 0.333 0.106
0.333 0.667 0.894
```

***

No. 2
DFT (PBE) results for crystalline NpCl at its relaxed geometry.

Output
- E: -7.605 eV per atom
- Space group: No. 216

```
NpCl
1.0
0.000 3.134 3.134
3.134 0.000 3.134
3.134 3.134 0.000
Cl Np
1 1
Direct
0.000 0.000 0.000
0.250 0.250 0.250
```

***

No. 3
DFT (PBE) results for crystalline UNiAg at its relaxed geometry.

Output
- Excess energy over the best structure of this formula in the dataset: 0.0 meV/atom
- E: -6.188 eV per atom
- Space group: No. 216
- E_form: 0.37 eV/atom

```
UNiAg
1.0
2.855 -3.153 -1.142
-1.338 -4.187 -0.278
-0.330 -1.949 -3.935
Ag Ni U
1 1 1
Direct
0.000 0.000 0.000
0.250 0.250 0.250
0.500 0.500 0.500
```

***

No. 4
DFT (PBE) results for crystalline Cu2Ag3 at its relaxed geometry.

Output
- Excess energy over the best structure of this formula in the dataset: 45.3 meV/atom
- E: -3.104 eV per atom
- Space group: No. 11
- E_form: 0.08 eV/atom

```
Cu2Ag3
1.0
-6.089 -0.891 0.090
0.483 -3.492 -1.886
0.690 -2.911 5.566
Ag Cu
6 4
Direct
0.442 0.750 0.147
0.773 0.250 0.255
0.329 0.250 0.442
0.671 0.750 0.558
0.227 0.750 0.745
0.558 0.250 0.853
0.137 0.250 0.039
0.050 0.750 0.335
0.950 0.250 0.665
0.863 0.750 0.961
```